1.
Material: Th5InAu4
Method: DFT, PBE-GGA
State: optimized geometry

Results
DFT formation energy ... -0.514 eV per atom
DOS(E_F) ... 7.9 states/eV per cell

abc: 3.543 3.543 20.831
angles: 90.00 90.00 90.00
Space group P4/mmm (No. 123)
Inequivalent atoms, fractional coordinates:
Th (0.000, 0.000, 0.000) (multiplicity 1)
Th (0.000, 0.000, 0.193) (multiplicity 2)
Th (0.000, 0.000, 0.388) (multiplicity 2)
In (0.500, 0.500, 0.500) (multiplicity 1)
Au (0.500, 0.500, 0.096) (multiplicity 2)
Au (0.500, 0.500, 0.292) (multiplicity 2)

=====

2.
Material: Mn3V5H12
Method: DFT, PBE-GGA
State: optimized geometry

Results
Uncorrected energy ... -5.69 eV per atom
DOS(E_F) ... 29.6 states/eV per cell

abc: 10.432 10.432 10.432
angles: 90.00 90.00 90.00
Space group Ia-3d (No. 230)
Inequivalent atoms, fractional coordinates:
Mn (0.000, 0.250, 0.125) (multiplicity 24)
V (0.000, 0.000, 0.000) (multiplicity 16)
V (0.000, 0.250, 0.375) (multiplicity 24)
H (0.007, 0.070, 0.653) (multiplicity 96)

=====

Q: The highest DOS(E_F) belongs to which entry?
A: Mn3V5H12

=====

Q: Which formula does entry 1 have?
A: Th5InAu4

=====

Repeat the second record exactly.
Material: Mn3V5H12
Method: DFT, PBE-GGA
State: optimized geometry

Results
Uncorrected energy ... -5.69 eV per atom
DOS(E_F) ... 29.6 states/eV per cell

abc: 10.432 10.432 10.432
angles: 90.00 90.00 90.00
Space group Ia-3d (No. 230)
Inequivalent atoms, fractional coordinates:
Mn (0.000, 0.250, 0.125) (multiplicity 24)
V (0.000, 0.000, 0.000) (multiplicity 16)
V (0.000, 0.250, 0.375) (multiplicity 24)
H (0.007, 0.070, 0.653) (multiplicity 96)